VASP calculation (GGA-PBE) on an optimized crystal structure of Rb2PaPO6.

abc: 6.5737 6.5737 6.5737
angles: 129.34 129.34 74.46
Element x y z (fractional)
1 Rb 0.2500 0.7500 0.5000
2 Rb 0.7500 0.2500 0.5000
3 Pa 0.0000 0.0000 0.0000
4 P 0.5000 0.5000 0.0000
5 O 0.1871 0.1871 0.0000
6 O 0.2956 0.2956 0.5912
7 O 0.2956 0.7044 0.0000
8 O 0.7044 0.2956 0.0000
9 O 0.7044 0.7044 0.4088
10 O 0.8129 0.8129 0.0000

Calculated values
space group	No. 139
uncorrected formation energy	-2328	meV/atom